Material: TbYPuO6
Method: DFT, PBE-GGA
State: relaxed

Values from the calculation:
As for the uncorrected formation energy: -3050 meV per atom. Its density of states at the Fermi level is 14.78 states/eV/cell. The space group is P-31c (163). For the energy, the calculation gives -9.180 eV/atom. Its crystal system is trigonal.

Geometry as POSCAR:
```
TbYPuO6
1.0
5.733 0.000 0.000
-2.866 4.965 0.000
0.000 0.000 9.468
Tb Y Pu O
2 2 2 12
direct
0.000 0.000 0.000
0.000 0.000 0.500
0.333 0.667 0.250
0.667 0.333 0.750
0.333 0.667 0.750
0.667 0.333 0.250
0.027 0.357 0.634
0.027 0.669 0.866
0.331 0.357 0.866
0.331 0.973 0.634
0.357 0.027 0.134
0.357 0.331 0.366
0.643 0.669 0.634
0.643 0.973 0.866
0.669 0.027 0.366
0.669 0.643 0.134
0.973 0.331 0.134
0.973 0.643 0.366
```

---

Material: TbPuZrO6
Method: DFT, PBE-GGA
State: relaxed

Values from the calculation:
As for the uncorrected formation energy: -3110 meV per atom. Its density of states at the Fermi level is 19.87 states/eV/cell. The space group is P-31c (163). For the energy, the calculation gives -9.472 eV/atom. Its crystal system is trigonal.

Geometry as POSCAR:
```
TbPuZrO6
1.0
5.625 0.000 0.000
-2.813 4.872 0.000
0.000 0.000 9.585
Tb Pu Zr O
2 2 2 12
direct
0.000 0.000 0.000
0.000 0.000 0.500
0.333 0.667 0.250
0.667 0.333 0.750
0.333 0.667 0.750
0.667 0.333 0.250
0.002 0.349 0.636
0.002 0.653 0.864
0.347 0.349 0.864
0.347 0.998 0.636
0.349 0.002 0.136
0.349 0.347 0.364
0.651 0.653 0.636
0.651 0.998 0.864
0.653 0.002 0.364
0.653 0.651 0.136
0.998 0.347 0.136
0.998 0.651 0.364
```